No. 1
VASP calculation (PBE) on CoCuNi4 after structural relaxation.

Lattice parameters (Å, degrees): 4.261 6.439 6.205 121.26 101.36 90.00
Positions (direct):
Ni 0.306 0.674 0.348
Ni 0.694 0.326 0.652
Ni 0.000 0.187 0.000
Ni 0.568 0.312 0.249
Ni 0.432 0.063 0.751
Ni 0.000 0.813 0.000
Ni 0.568 0.937 0.249
Ni 0.432 0.688 0.751
Cu 0.122 0.208 0.416
Cu 0.878 0.792 0.584
Co 0.232 0.447 0.894
Co 0.768 0.553 0.106

Output
energy relative to the elements	0.241	eV per atom
VASP energy	-5.48	eV per atom
polymorph energy (0 for the lowest one)	229	meV/atom
calculated volume	11.8	Å³ per atom
calculated density	8.4	g cm⁻³

***

No. 2
VASP calculation (PBE) on CeErNiAu after structural relaxation.

Lattice parameters (Å, degrees): 4.999 4.999 4.999 60.00 60.00 60.00
Positions (direct):
Au 0.750 0.750 0.750
Ce 0.500 0.500 0.500
Ni 0.250 0.250 0.250
Er 0.000 0.000 0.000

Output
energy relative to the elements	-0.474	eV per atom
VASP energy	-5.36	eV per atom
calculated volume	22.1	Å³ per atom
calculated density	10.6	g cm⁻³

***

No. 3
VASP calculation (PBE) on YTlP2 after structural relaxation.

Lattice parameters (Å, degrees): 6.571 6.571 6.571 145.09 144.74 50.46
Positions (direct):
Y 0.271 0.771 0.500
Tl 0.535 0.535 0.000
P 0.939 0.939 0.000
P 0.755 0.255 0.500

Output
energy relative to the elements	-0.394	eV per atom
VASP energy	-5.31	eV per atom
polymorph energy (0 for the lowest one)	202	meV/atom
calculated volume	23.3	Å³ per atom
calculated density	6.3	g cm⁻³